A geometry-optimized AgGe3S structure. Source: Alexandria via LeMat-Bulk, functional GGA-PBE.

Cell: 4.981 4.981 4.981 Å, 90.00 90.00 90.00°
Space group Pm-3m (No. 221)
One atom of each set of equivalent atoms:
Ag: 0.000 0.000 0.000 (multiplicity 1)
Ge: 0.000 0.000 0.500 (multiplicity 3)
S: 0.500 0.500 0.500 (multiplicity 1)

Output
E_form (uncorrected): 787 meV per atom
crystal system: cubic
energy relative to the lowest polymorph listed for this composition: 179 meV/atom

***

A geometry-optimized Tb2Pm8Nd structure. Source: Alexandria via LeMat-Bulk, functional GGA-PBE.

Cell: 11.982 7.134 9.135 Å, 90.00 102.68 90.00°
Space group C2/m (No. 12)
One atom of each set of equivalent atoms:
Tb: 0.166 0.000 0.152 (multiplicity 4)
Pm: 0.057 0.277 0.824 (multiplicity 8)
Pm: 0.157 0.500 0.502 (multiplicity 4)
Pm: 0.208 0.500 0.158 (multiplicity 4)
Nd: 0.000 0.000 0.500 (multiplicity 2)

Output
crystal system: monoclinic
energy relative to the lowest polymorph listed for this composition: 0 meV/atom
ΔH_f (0 K): 0.14 eV/atom

***

A geometry-optimized LaLuHgRh structure. Source: Alexandria via LeMat-Bulk, functional GGA-PBE.

Cell: 7.273 7.273 7.273 Å, 90.00 90.00 90.00°
Space group F-43m (No. 216)
One atom of each set of equivalent atoms:
La: 0.000 0.000 0.000 (multiplicity 4)
Lu: 0.000 0.000 0.500 (multiplicity 4)
Hg: 0.250 0.250 0.750 (multiplicity 4)
Rh: 0.250 0.250 0.250 (multiplicity 4)

Output
crystal system: cubic
ΔH_f (0 K): -0.56 eV/atom

***

A geometry-optimized AlNi2S4 structure. Source: Alexandria via LeMat-Bulk, functional GGA-PBE.

Cell: 6.219 6.219 11.457 Å, 90.00 90.00 90.00°
Space group I4_1/a (No. 88, origin choice 2)
One atom of each set of equivalent atoms:
Al: 0.000 0.250 0.125 (multiplicity 4)
Ni: 0.000 0.000 0.500 (multiplicity 8)
S: 0.172 0.055 0.333 (multiplicity 16)

Output
E_form (uncorrected): -411 meV per atom
crystal system: tetragonal
energy relative to the lowest polymorph listed for this composition: 12 meV/atom

***

A geometry-optimized Sc2SnTe2 structure. Source: Alexandria via LeMat-Bulk, functional GGA-PBE.

Cell: 8.093 8.093 3.815 Å, 90.00 90.00 90.00°
Space group P4/mbm (No. 127)
One atom of each set of equivalent atoms:
Sc: 0.152 0.348 0.000 (multiplicity 4)
Sn: 0.000 0.000 0.000 (multiplicity 2)
Te: 0.147 0.647 0.500 (multiplicity 4)

Output
E_form (uncorrected): -772 meV per atom
crystal system: tetragonal
energy relative to the lowest polymorph listed for this composition: 0 meV/atom

***

A geometry-optimized DyPu5Ru6 structure. Source: Alexandria via LeMat-Bulk, functional GGA-PBE.

Cell: 4.788 14.461 6.710 Å, 90.00 90.00 90.00°
Space group Cmmm (No. 65)
One atom of each set of equivalent atoms:
Dy: 0.000 0.000 0.000 (multiplicity 2)
Pu: 0.000 0.000 0.500 (multiplicity 2)
Pu: 0.000 0.333 0.500 (multiplicity 4)
Pu: 0.000 0.335 0.000 (multiplicity 4)
Ru: 0.000 0.169 0.253 (multiplicity 8)
Ru: 0.000 0.500 0.260 (multiplicity 4)

Output
crystal system: orthorhombic
ΔH_f (0 K): -0.18 eV/atom

***

A geometry-optimized Ce2Pu2Ge4Rh structure. Source: Alexandria via LeMat-Bulk, functional GGA-PBE.

Cell: 7.074 7.074 8.293 Å, 90.00 90.00 90.00°
Space group I4/mmm (No. 139)
One atom of each set of equivalent atoms:
Ce: 0.000 0.500 0.250 (multiplicity 4)
Pu: 0.000 0.000 0.176 (multiplicity 4)
Ge: 0.246 0.246 0.500 (multiplicity 8)
Rh: 0.000 0.000 0.500 (multiplicity 2)

Output
crystal system: tetragonal
ΔH_f (0 K): -0.46 eV/atom

***

A geometry-optimized CeNdAu4 structure. Source: Alexandria via LeMat-Bulk, functional GGA-PBE.

Cell: 3.492 4.785 8.332 Å, 90.00 90.00 90.00°
Space group Pmmm (No. 47)
One atom of each set of equivalent atoms:
Ce: 0.000 0.000 0.000 (multiplicity 1)
Nd: 0.000 0.500 0.500 (multiplicity 1)
Au: 0.500 0.000 0.333 (multiplicity 2)
Au: 0.500 0.500 0.166 (multiplicity 2)

Output
crystal system: orthorhombic
ΔH_f (0 K): -0.71 eV/atom

***

A geometry-optimized RbNaThS3 structure. Source: Alexandria via LeMat-Bulk, functional GGA-PBE.

Cell: 8.384 4.207 10.280 Å, 90.00 92.72 90.00°
Space group P2_1/m (No. 11)
One atom of each set of equivalent atoms:
Rb: 0.065 0.250 0.318 (multiplicity 2)
Na: 0.299 0.750 0.980 (multiplicity 2)
Th: 0.432 0.250 0.678 (multiplicity 2)
S: 0.179 0.250 0.822 (multiplicity 2)
S: 0.315 0.750 0.511 (multiplicity 2)
S: 0.418 0.250 0.183 (multiplicity 2)

Output
E_form (uncorrected): -1620 meV per atom
crystal system: monoclinic

***

A geometry-optimized TiCd2H2 structure. Source: Alexandria via LeMat-Bulk, functional GGA-PBE.

Cell: 5.702 5.702 4.331 Å, 90.00 90.00 90.00°
Space group P4/mbm (No. 127)
One atom of each set of equivalent atoms:
Ti: 0.000 0.000 0.000 (multiplicity 2)
Cd: 0.203 0.297 0.500 (multiplicity 4)
H: 0.218 0.282 0.000 (multiplicity 4)

Output
crystal system: tetragonal
total energy: -31.85 eV per cell

***

A geometry-optimized BaBiI2O structure. Source: Alexandria via LeMat-Bulk, functional GGA-PBE.

Cell: 6.776 6.776 4.463 Å, 90.00 90.00 90.00°
Space group P4/mmm (No. 123)
One atom of each set of equivalent atoms:
Ba: 0.000 0.000 0.000 (multiplicity 1)
Bi: 0.500 0.500 0.500 (multiplicity 1)
I: 0.000 0.500 0.000 (multiplicity 2)
O: 0.000 0.000 0.500 (multiplicity 1)

Output
E_form (uncorrected): -496 meV per atom
crystal system: tetragonal
energy relative to the lowest polymorph listed for this composition: 395 meV/atom

***

A geometry-optimized MnFe2Co structure. Source: Alexandria via LeMat-Bulk, functional GGA-PBE.

Cell: 2.831 2.831 5.671 Å, 90.00 90.00 90.00°
Space group P4mm (No. 99)
One atom of each set of equivalent atoms:
Mn: 0.000 0.000 0.000 (multiplicity 1)
Fe: 0.000 0.000 0.505 (multiplicity 1)
Fe: 0.500 0.500 0.755 (multiplicity 1)
Co: 0.500 0.500 0.256 (multiplicity 1)

Output
crystal system: tetragonal
ΔH_f (0 K): 0.03 eV/atom

***

A geometry-optimized MnBeAg2 structure. Source: Alexandria via LeMat-Bulk, functional GGA-PBE.

Cell: 3.947 3.947 7.713 Å, 90.00 90.00 90.00°
Space group I-4m2 (No. 119)
One atom of each set of equivalent atoms:
Mn: 0.000 0.000 0.000 (multiplicity 2)
Be: 0.000 0.500 0.250 (multiplicity 2)
Ag: 0.000 0.000 0.500 (multiplicity 2)
Ag: 0.000 0.500 0.750 (multiplicity 2)

Output
crystal system: tetragonal
ΔH_f (0 K): 0.33 eV/atom

***

A geometry-optimized TbPm5HoEr2 structure. Source: Alexandria via LeMat-Bulk, functional GGA-PBE.

Cell: 5.628 20.250 10.664 Å, 90.00 90.00 90.00°
Space group Cmc2_1 (No. 36)
One atom of each set of equivalent atoms:
Tb: 0.000 0.199 0.000 (multiplicity 4)
Pm: 0.000 0.017 0.009 (multiplicity 4)
Pm: 0.000 0.280 0.300 (multiplicity 4)
Pm: 0.000 0.298 0.696 (multiplicity 4)
Pm: 0.000 0.387 0.012 (multiplicity 4)
Pm: 0.000 0.481 0.731 (multiplicity 4)
Ho: 0.000 0.410 0.449 (multiplicity 4)
Er: 0.000 0.112 0.728 (multiplicity 4)
Er: 0.000 0.115 0.302 (multiplicity 4)

Output
crystal system: orthorhombic
ΔH_f (0 K): 0.15 eV/atom

***

A geometry-optimized ScAg2W structure. Source: Alexandria via LeMat-Bulk, functional GGA-PBE.

Cell: 4.113 4.113 4.222 Å, 90.00 90.00 90.00°
Space group P4/mmm (No. 123)
One atom of each set of equivalent atoms:
Sc: 0.000 0.000 0.000 (multiplicity 1)
Ag: 0.000 0.500 0.500 (multiplicity 2)
W: 0.500 0.500 0.000 (multiplicity 1)

Output
crystal system: tetragonal
energy relative to the lowest polymorph listed for this composition: 229 meV/atom
ΔH_f (0 K): 0.43 eV/atom

***

A geometry-optimized Hf2TlMoW structure. Source: Alexandria via LeMat-Bulk, functional GGA-PBE.

Cell: 4.983 4.983 5.284 Å, 90.00 90.00 90.00°
Space group P4/mmm (No. 123)
One atom of each set of equivalent atoms:
Hf: 0.000 0.500 0.000 (multiplicity 2)
Tl: 0.000 0.000 0.500 (multiplicity 1)
Mo: 0.500 0.500 0.500 (multiplicity 1)
W: 0.000 0.000 0.000 (multiplicity 1)

Output
crystal system: tetragonal
ΔH_f (0 K): 1.51 eV/atom

***

A geometry-optimized KScCu2 structure. Source: Alexandria via LeMat-Bulk, functional GGA-PBE.

Cell: 5.180 5.180 3.139 Å, 90.00 90.00 90.00°
Space group P4/mmm (No. 123)
One atom of each set of equivalent atoms:
K: 0.000 0.000 0.000 (multiplicity 1)
Sc: 0.500 0.500 0.000 (multiplicity 1)
Cu: 0.000 0.500 0.500 (multiplicity 2)

Output
crystal system: tetragonal
energy relative to the lowest polymorph listed for this composition: 275 meV/atom
ΔH_f (0 K): 0.36 eV/atom

***

A geometry-optimized InRhBr2 structure. Source: Alexandria via LeMat-Bulk, functional GGA-PBE.

Cell: 6.167 6.167 14.244 Å, 90.00 90.00 90.00°
Space group I-42d (No. 122)
One atom of each set of equivalent atoms:
In: 0.000 0.000 0.000 (multiplicity 4)
Rh: 0.000 0.000 0.500 (multiplicity 4)
Br: 0.142 0.250 0.625 (multiplicity 8)

Output
E_form (uncorrected): 59 meV per atom
crystal system: tetragonal
energy relative to the lowest polymorph listed for this composition: 335 meV/atom

***

A geometry-optimized ThGa4Au2 structure. Source: Alexandria via LeMat-Bulk, functional GGA-PBE.

Cell: 17.274 4.650 6.815 Å, 90.00 90.00 90.00°
Space group Pnma (No. 62)
One atom of each set of equivalent atoms:
Th: 0.139 0.250 0.012 (multiplicity 4)
Ga: 0.040 0.750 0.830 (multiplicity 4)
Ga: 0.065 0.250 0.474 (multiplicity 4)
Ga: 0.181 0.750 0.325 (multiplicity 4)
Ga: 0.188 0.750 0.721 (multiplicity 4)
Au: 0.032 0.750 0.230 (multiplicity 4)
Au: 0.216 0.250 0.530 (multiplicity 4)

Output
crystal system: orthorhombic
ΔH_f (0 K): -0.46 eV/atom

***

A geometry-optimized BaSrS2 structure. Source: Alexandria via LeMat-Bulk, functional GGA-PBE.

Cell: 4.4245 4.4245 21.7208 Å, 90.00 90.00 120.00°
Space group R-3m (No. 166, hexagonal axes)
One atom of each set of equivalent atoms:
Ba: 0.0000 0.0000 0.0000 (multiplicity 3)
Sr: 0.0000 0.0000 0.5000 (multiplicity 3)
S: 0.0000 0.0000 0.2452 (multiplicity 6)

Output
E_form (uncorrected): -2102 meV per atom
crystal system: trigonal
energy relative to the lowest polymorph listed for this composition: 0 meV/atom

***

A geometry-optimized CePuTcPb structure. Source: Alexandria via LeMat-Bulk, functional GGA-PBE.

Cell: 3.306 3.306 8.936 Å, 90.00 90.00 90.00°
Space group P4mm (No. 99)
One atom of each set of equivalent atoms:
Ce: 0.000 0.000 0.000 (multiplicity 1)
Pu: 0.000 0.000 0.602 (multiplicity 1)
Tc: 0.500 0.500 0.799 (multiplicity 1)
Pb: 0.500 0.500 0.304 (multiplicity 1)

Output
crystal system: tetragonal
ΔH_f (0 K): -0.12 eV/atom

***

A geometry-optimized ThMgAu structure. Source: Alexandria via LeMat-Bulk, functional GGA-PBE.

Cell: 4.230 4.230 8.090 Å, 90.00 90.00 90.00°
Space group P4/nmm (No. 129, origin choice 2)
One atom of each set of equivalent atoms:
Th: 0.250 0.250 0.134 (multiplicity 2)
Mg: 0.250 0.750 0.500 (multiplicity 2)
Au: 0.250 0.250 0.733 (multiplicity 2)

Output
crystal system: tetragonal
ΔH_f (0 K): -0.48 eV/atom

***

A geometry-optimized TbPmSmEr structure. Source: Alexandria via LeMat-Bulk, functional GGA-PBE.

Cell: 8.076 8.076 8.076 Å, 90.00 90.00 90.00°
Space group F-43m (No. 216)
One atom of each set of equivalent atoms:
Tb: 0.000 0.000 0.000 (multiplicity 4)
Pm: 0.250 0.250 0.750 (multiplicity 4)
Sm: 0.250 0.250 0.250 (multiplicity 4)
Er: 0.000 0.000 0.500 (multiplicity 4)

Output
crystal system: cubic
ΔH_f (0 K): 0.13 eV/atom

***

A geometry-optimized Cs2GeI6Cl structure. Source: Alexandria via LeMat-Bulk, functional GGA-PBE.

Cell: 8.771 8.771 11.421 Å, 90.00 90.00 90.00°
Space group I4/mmm (No. 139)
One atom of each set of equivalent atoms:
Cs: 0.000 0.500 0.250 (multiplicity 4)
Ge: 0.000 0.000 0.000 (multiplicity 2)
I: 0.000 0.000 0.250 (multiplicity 4)
I: 0.226 0.226 0.000 (multiplicity 8)
Cl: 0.000 0.000 0.500 (multiplicity 2)

Output
E_form (uncorrected): -678 meV per atom
crystal system: tetragonal